A plane-wave DFT calculation with PBE was carried out for a relaxed Pb3Se5 crystal.

Properties
offset from the most stable computed form = 177 meV/atom
ΔE_f (raw) = -111 kJ/mol of formula units
theoretical density = 8.12 Mg/m³

Cell: 6.042 6.042 5.795 Å, 90.00 90.00 100.84°
Element x y z (fractional)
1 Pb 0.000 0.000 0.000
2 Pb 0.304 0.696 0.500
3 Pb 0.696 0.304 0.500
4 Se 0.000 0.500 0.000
5 Se 0.186 0.186 0.500
6 Se 0.500 0.000 0.000
7 Se 0.500 0.500 0.000
8 Se 0.814 0.814 0.500